Record 1
The following is a GGA-PBE calculation of a geometry-optimized Pr3Sm2Pd2 structure, from Alexandria via LeMat-Bulk.

Calculated values
The value obtained for the energy relative to the elements is -0.4380 eV per atom. The magnetization is 0.0 μB per formula unit. The calculation puts the density of states at the Fermi level at 1.278 states/eV per atom. As for the volume: 29.50 Å³ per atom. The symmetry is C2/m (12).

Lattice parameters (Å, degrees): 6.5734 6.5734 9.2645 113.34 113.34 34.53
Closest atoms and distances in Å follow each position.
Atoms (fractional coordinates):
Pr1 0.0000 0.0000 0.0000  4 Pd 2.99
Pr2 0.1153 0.1153 0.4398  3 Pd 3.06-3.17
Pr3 0.8847 0.8847 0.5602  3 Pd 3.06-3.17
Sm1 0.3401 0.3401 0.1896  2 Pd 3.02
Sm2 0.6599 0.6599 0.8104  2 Pd 3.02
Pd1 0.3316 0.3316 0.7759  5 Pr 2.99-3.17, 2 Sm 3.02
Pd2 0.6684 0.6684 0.2241  5 Pr 2.99-3.17, 2 Sm 3.02



Record 2
The following is a GGA-PBE calculation of a geometry-optimized Pr4Sm3Pd2 structure, from Alexandria via LeMat-Bulk.

Calculated values
The value obtained for the energy relative to the elements is -0.3062 eV per atom. The magnetization is 0.0 μB per formula unit. The calculation puts the density of states at the Fermi level at 1.331 states/eV per atom. As for the volume: 31.73 Å³ per atom. The symmetry is C2/m (12).

Lattice parameters (Å, degrees): 8.8328 8.8328 9.3084 112.05 112.05 25.21
Closest atoms and distances in Å follow each position.
Atoms (fractional coordinates):
Pr1 0.1262 0.1262 0.3817  5 Pr 3.74-3.98, 6 Sm 3.77-3.89, 2 Pd 4.03-4.09
Pr2 0.2680 0.2680 0.8352  3 Pd 2.98-3.15
Pr3 0.7320 0.7320 0.1648  3 Pd 2.98-3.15
Pr4 0.8738 0.8738 0.6183  5 Pr 3.74-3.98, 6 Sm 3.77-3.89, 2 Pd 4.03-4.09
Sm1 0.4272 0.4272 0.3199  2 Pd 2.96
Sm2 0.5000 0.5000 0.0000  4 Pd 2.97
Sm3 0.5728 0.5728 0.6801  2 Pd 2.96
Pd1 0.1151 0.1151 0.9407  4 Sm 2.96-2.97, 3 Pr 2.98-3.15
Pd2 0.8849 0.8849 0.0593  4 Sm 2.96-2.97, 3 Pr 2.98-3.15



Record 3
The following is a GGA-PBE calculation of a geometry-optimized PrSm2Pd structure, from Alexandria via LeMat-Bulk.

Calculated values
The value obtained for the energy relative to the elements is -0.4186 eV per atom. The magnetization is 0.0 μB per formula unit. The calculation puts the density of states at the Fermi level at 1.077 states/eV per atom. As for the volume: 29.99 Å³ per atom. The energy relative to the lowest polymorph listed for this composition is 0.000 eV per atom. The symmetry is Pnma (62).

Lattice parameters (Å, degrees): 7.2338 10.0101 6.6276 90.00 90.00 90.00
Closest atoms and distances in Å follow each position.
Atoms (fractional coordinates):
Pr1 0.0230 0.2500 0.1385  2 Pd 2.99-3.07
Pr2 0.4770 0.7500 0.6385  2 Pd 2.99-3.07
Pr3 0.5230 0.2500 0.3615  2 Pd 2.99-3.07
Pr4 0.9770 0.7500 0.8615  2 Pd 2.99-3.07
Sm1 0.1797 0.0604 0.6692  2 Pd 2.91-2.94
Sm2 0.1797 0.4396 0.6692  2 Pd 2.91-2.94
Sm3 0.3203 0.5604 0.1692  2 Pd 2.91-2.94
Sm4 0.3203 0.9396 0.1692  2 Pd 2.91-2.94
Sm5 0.6797 0.0604 0.8308  2 Pd 2.91-2.94
Sm6 0.6797 0.4396 0.8308  2 Pd 2.91-2.94
Sm7 0.8203 0.5604 0.3308  2 Pd 2.91-2.94
Sm8 0.8203 0.9396 0.3308  2 Pd 2.91-2.94
Pd1 0.1139 0.7500 0.4231  4 Sm 2.91-2.94, 2 Pr 2.99-3.07
Pd2 0.3861 0.2500 0.9231  4 Sm 2.91-2.94, 2 Pr 2.99-3.07
Pd3 0.6139 0.7500 0.0769  4 Sm 2.91-2.94, 2 Pr 2.99-3.07
Pd4 0.8861 0.2500 0.5769  4 Sm 2.91-2.94, 2 Pr 2.99-3.07



Record 4
The following is a GGA-PBE calculation of a geometry-optimized Pr4SmPd4 structure, from Alexandria via LeMat-Bulk.

Calculated values
The value obtained for the energy relative to the elements is -0.5791 eV per atom. The magnetization is 0.0 μB per formula unit. The calculation puts the density of states at the Fermi level at 0.856 states/eV per atom. As for the volume: 28.20 Å³ per atom. The symmetry is P4_2/n (86).

Lattice parameters (Å, degrees): 9.1214 9.1214 6.1002 90.00 90.00 90.00
Closest atoms and distances in Å follow each position.
Atoms (fractional coordinates):
Pr1 0.0595 0.6621 0.1558  5 Pd 2.89-3.13
Pr2 0.1621 0.9405 0.6558  5 Pd 2.89-3.13
Pr3 0.3379 0.5595 0.6558  5 Pd 2.89-3.13
Pr4 0.4405 0.8379 0.1558  5 Pd 2.89-3.13
Pr5 0.5595 0.1621 0.8442  5 Pd 2.89-3.13
Pr6 0.6621 0.4405 0.3442  5 Pd 2.89-3.13
Pr7 0.8379 0.0595 0.3442  5 Pd 2.89-3.13
Pr8 0.9405 0.3379 0.8442  5 Pd 2.89-3.13
Sm1 0.2500 0.2500 0.2500  4 Pd 2.84
Sm2 0.7500 0.7500 0.7500  4 Pd 2.84
Pd1 0.0286 0.6304 0.6467  1 Sm 2.84, 5 Pr 2.89-3.13, 1 Pd 3.02
Pd2 0.1304 0.9714 0.1467  1 Sm 2.84, 5 Pr 2.89-3.13, 1 Pd 3.02
Pd3 0.3696 0.5286 0.1467  1 Sm 2.84, 5 Pr 2.89-3.13, 1 Pd 3.02
Pd4 0.4714 0.8696 0.6467  1 Sm 2.84, 5 Pr 2.89-3.13, 1 Pd 3.02
Pd5 0.5286 0.1304 0.3533  1 Sm 2.84, 5 Pr 2.89-3.13, 1 Pd 3.02
Pd6 0.6304 0.4714 0.8533  1 Sm 2.84, 5 Pr 2.89-3.13, 1 Pd 3.02
Pd7 0.8696 0.0286 0.8533  1 Sm 2.84, 5 Pr 2.89-3.13, 1 Pd 3.02
Pd8 0.9714 0.3696 0.3533  1 Sm 2.84, 5 Pr 2.89-3.13, 1 Pd 3.02



Record 5
The following is a GGA-PBE calculation of a geometry-optimized Pr3Sm4Pd4 structure, from Alexandria via LeMat-Bulk.

Calculated values
The value obtained for the energy relative to the elements is -0.5183 eV per atom. The magnetization is 0.0 μB per formula unit. The calculation puts the density of states at the Fermi level at 1.046 states/eV per atom. As for the volume: 27.09 Å³ per atom. The symmetry is Immm (71).

Lattice parameters (Å, degrees): 9.1488 9.1488 9.1488 149.02 130.32 59.71
Closest atoms and distances in Å follow each position.
Atoms (fractional coordinates):
Pr1 0.0000 0.0000 0.0000  6 Pd 3.22-3.45
Pr2 0.3990 0.8990 0.5000  1 Pr 3.21, 4 Pd 3.25, 4 Sm 3.44
Pr3 0.6010 0.1010 0.5000  1 Pr 3.21, 4 Pd 3.25, 4 Sm 3.44
Sm1 0.0488 0.3290 0.7197  4 Pd 2.81-3.01
Sm2 0.3907 0.6710 0.7197  4 Pd 2.81-3.01
Sm3 0.6093 0.3290 0.2803  4 Pd 2.81-3.01
Sm4 0.9512 0.6710 0.2803  4 Pd 2.81-3.01
Pd1 0.2027 0.2027 0.0000  6 Sm 2.94-3.01, 1 Pr 3.22
Pd2 0.3161 0.5000 0.8161  2 Sm 2.81, 1 Pd 2.83
Pd3 0.6839 0.5000 0.1839  2 Sm 2.81, 1 Pd 2.83
Pd4 0.7973 0.7973 0.0000  6 Sm 2.94-3.01, 1 Pr 3.22



Record 6
The following is a GGA-PBE calculation of a geometry-optimized Pr2Sm5Pd4 structure, from Alexandria via LeMat-Bulk.

Calculated values
The value obtained for the energy relative to the elements is -0.3489 eV per atom. The magnetization is 0.0 μB per formula unit. The calculation puts the density of states at the Fermi level at 1.062 states/eV per atom. As for the volume: 29.31 Å³ per atom. The symmetry is C2/m (12).

Lattice parameters (Å, degrees): 12.8019 12.8019 6.9407 92.66 92.66 16.49
Closest atoms and distances in Å follow each position.
Atoms (fractional coordinates):
Pr1 0.0922 0.0922 0.1697  4 Pd 2.92-3.07
Pr2 0.9078 0.9078 0.8303  4 Pd 2.92-3.07
Sm1 0.1336 0.1336 0.6800  3 Pd 2.93-2.95
Sm2 0.2343 0.2343 0.2491  3 Pd 2.93-2.98
Sm3 0.5000 0.5000 0.5000  4 Pd 2.90
Sm4 0.7657 0.7657 0.7509  3 Pd 2.93-2.98
Sm5 0.8664 0.8664 0.3200  3 Pd 2.93-2.95
Pd1 0.0257 0.0257 0.8143  3 Sm 2.90-2.93, 2 Pr 2.92-3.00, 1 Pd 2.94
Pd2 0.3271 0.3271 0.0139  5 Sm 2.93-2.98, 2 Pr 3.07
Pd3 0.6729 0.6729 0.9861  5 Sm 2.93-2.98, 2 Pr 3.07
Pd4 0.9743 0.9743 0.1857  3 Sm 2.90-2.93, 2 Pr 2.92-3.00, 1 Pd 2.94



Record 7
The following is a GGA-PBE calculation of a geometry-optimized PrSmSn2Pd5 structure, from Alexandria via LeMat-Bulk.

Calculated values
The value obtained for the energy relative to the elements is -0.6934 eV per atom. The magnetization is 0.0 μB per formula unit. The calculation puts the density of states at the Fermi level at 0.397 states/eV per atom. As for the volume: 20.96 Å³ per atom. The symmetry is P4/mmm (123).

Lattice parameters (Å, degrees): 4.4519 4.4519 9.5188 90.00 90.00 90.00
Closest atoms and distances in Å follow each position.
Atoms (fractional coordinates):
Pr1 0.0000 0.0000 0.0000  12 Pd 2.99-3.15
Sm1 0.0000 0.0000 0.5000  8 Sn 3.44, 8 Pd 3.55
Sn1 0.5000 0.5000 0.3542  4 Pd 2.62, 1 Sn 2.77
Sn2 0.5000 0.5000 0.6458  4 Pd 2.62, 1 Sn 2.77
Pd1 0.0000 0.5000 0.2090  2 Sn 2.62
Pd2 0.0000 0.5000 0.7910  2 Sn 2.62
Pd3 0.5000 0.0000 0.2090  2 Sn 2.62
Pd4 0.5000 0.0000 0.7910  2 Sn 2.62
Pd5 0.5000 0.5000 0.0000  8 Pd 2.99, 4 Pr 3.15



Record 8
The following is a GGA-PBE calculation of a geometry-optimized PrSmSnPd structure, from Alexandria via LeMat-Bulk.

Calculated values
The value obtained for the energy relative to the elements is -0.6804 eV per atom. The magnetization is 0.2 μB per formula unit. The calculation puts the density of states at the Fermi level at 0.712 states/eV per atom. As for the volume: 26.59 Å³ per atom. The symmetry is F-43m (216).

Lattice parameters (Å, degrees): 5.3182 5.3182 5.3182 60.00 60.00 60.00
Closest atoms and distances in Å follow each position.
Atoms (fractional coordinates):
Pr1 0.0000 0.0000 0.0000  4 Pd 3.26, 4 Sn 3.26
Sm1 0.5000 0.5000 0.5000  4 Pd 3.26, 4 Sn 3.26
Sn1 0.2500 0.2500 0.2500  4 Pr 3.26, 4 Sm 3.26
Pd1 0.7500 0.7500 0.7500  4 Pr 3.26, 4 Sm 3.26



Record 9
The following is a GGA-PBE calculation of a geometry-optimized PrSmZnPd structure, from Alexandria via LeMat-Bulk.

Calculated values
The value obtained for the energy relative to the elements is -0.5379 eV per atom. The magnetization is 0.0 μB per formula unit. The calculation puts the density of states at the Fermi level at 0.934 states/eV per atom. As for the volume: 25.11 Å³ per atom. The energy relative to the lowest polymorph listed for this composition is 0.000 eV per atom. The symmetry is Amm2 (38).

Lattice parameters (Å, degrees): 4.5787 5.8984 5.8984 39.09 90.00 90.00
Closest atoms and distances in Å follow each position.
Atoms (fractional coordinates):
Pr1 0.0000 0.0000 0.0000  3 Pd 3.09-3.18, 4 Zn 3.12
Sm1 0.5000 0.7180 0.7180  3 Zn 3.08-3.19, 4 Pd 3.12
Zn1 0.5000 0.4311 0.4311  2 Pd 2.80, 2 Sm 3.08, 4 Pr 3.12
Pd1 0.0000 0.2864 0.2864  2 Zn 2.80, 2 Pr 3.09, 4 Sm 3.12



Record 10
The following is a GGA-PBE calculation of a geometry-optimized PrSmZnPd structure, from Alexandria via LeMat-Bulk.

Calculated values
The value obtained for the energy relative to the elements is -0.5039 eV per atom. The magnetization is 0.0 μB per formula unit. The calculation puts the density of states at the Fermi level at 0.782 states/eV per atom. As for the volume: 24.32 Å³ per atom. The energy relative to the lowest polymorph listed for this composition is 0.034 eV per atom. The symmetry is F-43m (216).

Lattice parameters (Å, degrees): 5.1624 5.1624 5.1624 60.00 60.00 60.00
Closest atoms and distances in Å follow each position.
Atoms (fractional coordinates):
Pr1 0.0000 0.0000 0.0000  4 Pd 3.16, 4 Zn 3.16
Sm1 0.5000 0.5000 0.5000  4 Pd 3.16, 4 Zn 3.16
Zn1 0.2500 0.2500 0.2500  4 Pr 3.16, 4 Sm 3.16
Pd1 0.7500 0.7500 0.7500  4 Pr 3.16, 4 Sm 3.16



Record 11
The following is a GGA-PBE calculation of a geometry-optimized Pr6SnPd5 structure, from Alexandria via LeMat-Bulk.

Calculated values
The value obtained for the energy relative to the elements is -0.6046 eV per atom. The magnetization is 0.0 μB per formula unit. The calculation puts the density of states at the Fermi level at 0.654 states/eV per atom. As for the volume: 27.66 Å³ per atom. The symmetry is C2/m (12).

Lattice parameters (Å, degrees): 7.0446 7.0446 7.5011 98.03 98.03 112.85
Closest atoms and distances in Å follow each position.
Atoms (fractional coordinates):
Pr1 0.0434 0.3989 0.7218  5 Pd 2.94-3.11
Pr2 0.2021 0.2021 0.2185  5 Pd 2.94-3.11, 1 Sn 3.16
Pr3 0.3989 0.0434 0.7218  5 Pd 2.94-3.11
Pr4 0.6011 0.9566 0.2782  5 Pd 2.94-3.11
Pr5 0.7979 0.7979 0.7815  5 Pd 2.94-3.11, 1 Sn 3.16
Pr6 0.9566 0.6011 0.2782  5 Pd 2.94-3.11
Sn1 0.5000 0.5000 0.0000  6 Pr 3.16-3.34, 2 Pd 3.54
Pd1 0.0000 0.0000 0.5000  6 Pr 2.94
Pd2 0.1988 0.8012 0.0000  6 Pr 2.98-3.05
Pd3 0.3716 0.6284 0.5000  1 Pd 3.01, 6 Pr 3.08-3.11
Pd4 0.6284 0.3716 0.5000  1 Pd 3.01, 6 Pr 3.08-3.11
Pd5 0.8012 0.1988 0.0000  6 Pr 2.98-3.05